A plane-wave DFT calculation with PBE was carried out for CoOsW2 after structural relaxation.

Unit cell a=3.1457 b=3.1457 c=5.8494 alpha=90.00 beta=90.00 gamma=90.00
With the nearest neighbours (Å) after each atom.
Element x y z (fractional)
Co 0.0000 0.0000 0.4739  4 W 2.47, 4 Os 2.72
Os 0.5000 0.5000 0.7429  5 W 2.65-2.66, 4 Co 2.72
W 0.0000 0.0000 0.9928  4 Os 2.66, 1 Co 2.81, 4 W 2.82
W 0.5000 0.5000 0.2905  4 Co 2.47, 1 Os 2.65

Space group: P4mm, No. 99
Formation energy, meV per atom: 153
Crystal system: tetragonal
E, eV per atom: -10.91
Calculated volume, A^3/atom: 14.47